Entry 1:
# MnBeCl2

Crystalline MnBeCl2 at its relaxed geometry (PBE, Alexandria).

Output
**Calculated total energy**: -4.151 eV/atom
**SG**: R-3m (166)

Unit cell a=8.096 b=8.096 c=8.096 alpha=23.85 beta=23.85 gamma=23.85
Atoms (fractional coordinates):
Be: 0.000 0.000 0.000
Mn: 0.500 0.500 0.500
Cl: 0.901 0.901 0.901
Cl: 0.099 0.099 0.099

---

Entry 2:
# MnBeCl2

Crystalline MnBeCl2 at its relaxed geometry (PBE, Alexandria).

Output
**Calculated total energy**: -4.619 eV/atom
**SG**: Cm (8)

Unit cell a=3.205 b=3.205 c=8.844 alpha=69.87 beta=69.87 gamma=59.99
Atoms (fractional coordinates):
Be: 0.632 0.632 0.746
Mn: 0.435 0.435 0.530
Cl: 0.206 0.206 0.891
Cl: 0.226 0.226 0.333

---

Entry 3:
# Mn2BeCl

Crystalline Mn2BeCl at its relaxed geometry (PBE, Alexandria).

Output
**Calculated total energy**: -5.198 eV/atom
**SG**: F-43m (216)

Unit cell a=4.261 b=4.261 c=4.261 alpha=60.00 beta=60.00 gamma=60.00
Atoms (fractional coordinates):
Be: 0.500 0.500 0.500
Mn: 0.000 0.000 0.000
Mn: 0.250 0.250 0.250
Cl: 0.750 0.750 0.750